Record 1
DFT (PBE) results for a relaxed Al3HgC crystal.

## Properties
symmetry = Pm-3m (221)
final energy = -18.93 eV/cell

Cell: 4.1927 4.1927 4.1927 Å, 90.00 90.00 90.00°
Last column: nearest neighbours and their distance in Å.
Atoms (fractional coordinates):
Al 0.5000 0.0000 0.0000  2 C 2.10
Al 0.0000 0.5000 0.0000  2 C 2.10
Al 0.0000 0.0000 0.5000  2 C 2.10
C 0.0000 0.0000 0.0000  6 Al 2.10
Hg 0.5000 0.5000 0.5000  12 Al 2.96


Record 2
DFT (PBE) results for a relaxed HoAl3C crystal.

## Properties
symmetry = Pm-3m (221)
final energy = -23.43 eV/cell

Cell: 4.3588 4.3588 4.3588 Å, 90.00 90.00 90.00°
Last column: nearest neighbours and their distance in Å.
Atoms (fractional coordinates):
Al 0.5000 0.0000 0.0000  2 C 2.18
Al 0.0000 0.5000 0.0000  2 C 2.18
Al 0.0000 0.0000 0.5000  2 C 2.18
C 0.0000 0.0000 0.0000  6 Al 2.18
Ho 0.5000 0.5000 0.5000  12 Al 3.08


Record 3
DFT (PBE) results for a relaxed Ho4AlC2S crystal.

## Properties
symmetry = P-6m2 (187)
final energy = -50.64 eV/cell

Cell: 3.6207 3.6207 14.3460 Å, 90.00 90.00 120.00°
Last column: nearest neighbours and their distance in Å.
Atoms (fractional coordinates):
Al 0.0000 0.0000 0.5000  6 Ho 3.34, 6 Al 3.62
C 0.3333 0.6667 0.2260  6 Ho 2.47-2.49
C 0.3333 0.6667 0.7740  6 Ho 2.47-2.49
Ho 0.0000 0.0000 0.1312  3 C 2.49
Ho 0.6667 0.3333 0.3183  3 C 2.47
Ho 0.6667 0.3333 0.6817  3 C 2.47
Ho 0.0000 0.0000 0.8688  3 C 2.49
S 0.6667 0.3333 0.0000  6 Ho 2.81


Record 4
DFT (PBE) results for a relaxed Ho4AlTlC2 crystal.

## Properties
symmetry = P-6m2 (187)
final energy = -45.41 eV/cell

Cell: 3.5687 3.5687 16.0758 Å, 90.00 90.00 120.00°
Last column: nearest neighbours and their distance in Å.
Atoms (fractional coordinates):
Al 0.6667 0.3333 0.5000  6 Ho 3.29, 6 Al 3.57
C 0.0000 0.0000 0.2536  6 Ho 2.44-2.49
C 0.0000 0.0000 0.7464  6 Ho 2.44-2.49
Ho 0.6667 0.3333 0.1723  3 C 2.44
Ho 0.3333 0.6667 0.3402  3 C 2.49
Ho 0.3333 0.6667 0.6598  3 C 2.49
Ho 0.6667 0.3333 0.8277  3 C 2.44
Tl 0.3333 0.6667 0.0000  6 Ho 3.45, 6 Tl 3.57


Record 5
DFT (PBE) results for a relaxed HoTmAlC crystal.

## Properties
symmetry = P-3m1 (164)
final energy = -46.21 eV/cell

Cell: 3.5230 3.5230 15.8087 Å, 90.00 90.00 120.00°
Last column: nearest neighbours and their distance in Å.
Atoms (fractional coordinates):
Al 0.6667 0.3333 0.2519  3 Tm 3.29, 3 Ho 3.32, 6 Al 3.52
Al 0.3333 0.6667 0.7481  3 Tm 3.29, 3 Ho 3.32, 6 Al 3.52
C 0.0000 0.0000 0.0000  6 Ho 2.45
C 0.0000 0.0000 0.5000  6 Tm 2.43
Ho 0.3333 0.6667 0.0861  3 C 2.45
Ho 0.6667 0.3333 0.9139  3 C 2.45
Tm 0.3333 0.6667 0.4157  3 C 2.43
Tm 0.6667 0.3333 0.5843  3 C 2.43


Record 6
DFT (PBE) results for a relaxed HoTmAlC crystal.

## Properties
symmetry = P-6m2 (187)
final energy = -46.21 eV/cell

Cell: 3.5242 3.5242 15.8032 Å, 90.00 90.00 120.00°
Last column: nearest neighbours and their distance in Å.
Atoms (fractional coordinates):
Al 0.3333 0.6667 0.0000  6 Ho 3.32, 6 Al 3.52
Al 0.0000 0.0000 0.5000  6 Tm 3.29, 6 Al 3.52
C 0.6667 0.3333 0.2514  3 Tm 2.44, 3 Ho 2.44
C 0.6667 0.3333 0.7486  3 Tm 2.44, 3 Ho 2.44
Ho 0.0000 0.0000 0.1660  3 C 2.44
Ho 0.0000 0.0000 0.8340  3 C 2.44
Tm 0.3333 0.6667 0.3365  3 C 2.44
Tm 0.3333 0.6667 0.6635  3 C 2.44